The following is a GGA+U calculation of crystalline LiCa2FeO at its relaxed geometry, from Alexandria.

The structure belongs to space group P4/mmm (No. 123); the cell edges are 6.112, 6.112 and 3.644 Å and the angles 90.00°, 90.00° and 90.00°. The inequivalent atoms are Li at (0.000, 0.000, 0.000), Ca at (0.000, 0.500, 0.500), Fe at (0.500, 0.500, 0.500) and O at (0.500, 0.500, 0.000).

Its total magnetization is 0.51 μB/atom. Its total energy is -3.526 eV per atom.